Density functional theory data (PBE-GGA) for a relaxed structure of CsNaSbS3.

a b c (Å): 7.4448 13.8173 7.1394
angles (deg): 90.00 90.00 90.00
Space group Cmcm (No. 63)
Symmetry-distinct sites (fractional):
Cs: 0.0000 0.2338 0.2500
Na: 0.0000 0.0827 0.7500
Sb: 0.0000 0.4551 0.7500
S: 0.0000 0.2827 0.7500
S: 0.2475 0.5000 0.0000

Properties
formation energy from raw total energies	-4.4	eV/f.u.
ρ	3.38	Mg/m³


Density functional theory data (PBE-GGA) for a relaxed structure of Cs2NaSbS4.

a b c (Å): 6.5488 14.4151 25.7084
angles (deg): 90.00 90.00 90.00
Space group Fddd (No. 70, origin choice 2)
Symmetry-distinct sites (fractional):
Cs: 0.1250 0.1250 0.3058
Na: 0.1250 0.1250 0.1250
Sb: 0.1250 0.1250 0.6250
S: 0.0821 0.2763 0.8237

Properties
formation energy from raw total energies	-6.6	eV/f.u.
ρ	2.95	Mg/m³


Density functional theory data (PBE-GGA) for a relaxed structure of CsNaSeS2.

a b c (Å): 6.2406 14.9915 6.3140
angles (deg): 90.00 90.00 90.00
Space group Cmme (No. 67)
Symmetry-distinct sites (fractional):
Cs: 0.0000 0.2500 0.2353
Na: 0.2500 0.0000 0.5000
Se: 0.0000 0.0000 0.0000
S: 0.0000 0.1174 0.7366

Properties
formation energy from raw total energies	-2.6	eV/f.u.
ρ	3.36	Mg/m³


Density functional theory data (PBE-GGA) for a relaxed structure of CsNa2SiS.

a b c (Å): 5.5700 5.5700 5.1079
angles (deg): 90.00 90.00 90.00
Space group P4/mmm (No. 123)
Symmetry-distinct sites (fractional):
Cs: 0.0000 0.0000 0.0000
Na: 0.0000 0.5000 0.5000
Si: 0.5000 0.5000 0.5000
S: 0.5000 0.5000 0.0000

Properties
formation energy from raw total energies	-0.3	eV/f.u.
ρ	2.50	Mg/m³


Density functional theory data (PBE-GGA) for a relaxed structure of CsNa2SiS4.

a b c (Å): 7.1287 7.1287 9.1325
angles (deg): 90.00 90.00 90.00
Space group I-42m (No. 121)
Symmetry-distinct sites (fractional):
Cs: 0.0000 0.0000 0.0000
Na: 0.0000 0.5000 0.2500
Si: 0.0000 0.0000 0.5000
S: 0.1713 0.1713 0.3633

Properties
formation energy from raw total energies	-7.4	eV/f.u.
ρ	2.40	Mg/m³


Density functional theory data (PBE-GGA) for a relaxed structure of CsNaSiS3.

a b c (Å): 8.5855 9.7287 9.6148
angles (deg): 90.00 95.70 90.00
Space group C2/m (No. 12)
Symmetry-distinct sites (fractional):
Cs: 0.2272 0.0000 0.1196
Na: 0.0000 0.2774 0.5000
Si: 0.1614 0.0000 0.6880
S: 0.1050 0.1805 0.7792
S: 0.2358 0.5000 0.4955

Properties
formation energy from raw total energies	-5.9	eV/f.u.
ρ	2.33	Mg/m³


Number 1: density of states at the Fermi level 3.7 states/eV per cell. Number 2: density of states at the Fermi level 0.0 states/eV per cell. Number 3: density of states at the Fermi level 17.1 states/eV per cell. Number 4: density of states at the Fermi level 2.3 states/eV per cell. Number 5: density of states at the Fermi level 14.6 states/eV per cell. Number 6: density of states at the Fermi level 0.0 states/eV per cell.